First-principles (PBE-GGA) data for crystalline AcLaEr4 at its relaxed geometry, as listed in Alexandria.

Values from the calculation:
crystal system	orthorhombic
DFT formation energy	90	meV/atom

a = 3.5644 Å, b = 5.7410 Å, c = 9.9464 Å
α = 90.00°, β = 90.00°, γ = 90.00°
Last column: nearest neighbours and their distance in Å.
Space group Pmmm (No. 47)
One atom of each set of equivalent atoms:
Ac (0.0000, 0.0000, 0.0000) x1  2 Ac 3.56, 12 Er 3.78-3.79
La (0.0000, 0.5000, 0.5000) x1  2 La 3.56, 12 Er 3.74-3.75
Er (0.5000, 0.0000, 0.3357) x2  5 Er 3.27-3.56
Er (0.5000, 0.5000, 0.1695) x2  5 Er 3.31-3.56

=====

First-principles (PBE-GGA) data for crystalline AcLaEr2 at its relaxed geometry, as listed in Alexandria.

Values from the calculation:
crystal system	trigonal
relative energy among the computed polymorphs	25	meV per atom
DFT formation energy	68	meV/atom

a = 3.7140 Å, b = 3.7140 Å, c = 35.6544 Å
α = 90.00°, β = 90.00°, γ = 120.00°
Last column: nearest neighbours and their distance in Å.
Space group R3m (No. 160, hexagonal axes)
One atom of each set of equivalent atoms:
Ac (0.0000, 0.0000, 0.0000) x3  6 Ac 3.71, 6 Er 3.72-3.75
La (0.0000, 0.0000, 0.8340) x3  6 Er 3.59-3.60, 6 La 3.71
Er (0.0000, 0.0000, 0.2481) x3  3 La 3.59, 6 Er 3.71, 3 Ac 3.72
Er (0.0000, 0.0000, 0.4197) x3  3 La 3.60, 6 Er 3.71, 3 Ac 3.75

=====

First-principles (PBE-GGA) data for crystalline Ac4La3Er at its relaxed geometry, as listed in Alexandria.

Values from the calculation:
crystal system	monoclinic
DFT formation energy	126	meV/atom

a = 14.5833 Å, b = 12.3600 Å, c = 3.7351 Å
α = 90.00°, β = 104.76°, γ = 90.00°
Last column: nearest neighbours and their distance in Å.
Space group C2/m (No. 12)
One atom of each set of equivalent atoms:
Ac (0.1315, 0.2485, 0.1322) x8  1 Er 3.59, 3 La 3.65-3.87, 5 Ac 3.71-3.83
La (0.0000, 0.5000, 0.5000) x2  2 La 3.74, 8 Ac 4.07-4.08
La (0.2330, 0.0000, 0.7335) x4  6 Ac 3.65-3.87, 2 La 3.74, 2 Er 3.78
Er (0.0000, 0.0000, 0.0000) x2  4 Ac 3.59, 2 Er 3.74, 4 La 3.78

=====

First-principles (PBE-GGA) data for crystalline Ac3La3Er at its relaxed geometry, as listed in Alexandria.

Values from the calculation:
crystal system	trigonal
DFT formation energy	193	meV/atom

a = 9.3049 Å, b = 9.3049 Å, c = 22.7404 Å
α = 90.00°, β = 90.00°, γ = 120.00°
Last column: nearest neighbours and their distance in Å.
Space group R-3 (No. 148, hexagonal axes)
One atom of each set of equivalent atoms:
Ac (0.0520, 0.4431, 0.3837) x18  4 La 3.52-3.81, 2 Er 3.84-3.94, 2 Ac 3.94
La (0.0135, 0.2498, 0.5529) x18  2 La 3.30, 2 Ac 3.52-3.56, 1 Er 3.62
Er (0.0000, 0.0000, 0.1511) x6  6 La 3.62-3.99, 6 Ac 3.84-3.94

=====

First-principles (PBE-GGA) data for crystalline AcLa6Er4 at its relaxed geometry, as listed in Alexandria.

Values from the calculation:
crystal system	tetragonal
DFT formation energy	297	meV/atom

a = 6.6977 Å, b = 6.6977 Å, c = 17.5435 Å
α = 90.00°, β = 90.00°, γ = 90.00°
Last column: nearest neighbours and their distance in Å.
Space group I-42m (No. 121)
One atom of each set of equivalent atoms:
Ac (0.0000, 0.0000, 0.0000) x2  4 La 3.35, 4 Er 3.61
La (0.0000, 0.5000, 0.0000) x4  2 Ac 3.35, 4 La 3.39
La (0.1749, 0.1749, 0.6322) x8  5 Er 3.30-3.64, 3 La 3.31-3.39
Er (0.1842, 0.1842, 0.8201) x8  5 La 3.30-3.64, 1 Er 3.49, 1 Ac 3.61

=====

First-principles (PBE-GGA) data for crystalline AcLa2Er at its relaxed geometry, as listed in Alexandria.

Values from the calculation:
crystal system	cubic
relative energy among the computed polymorphs	136	meV per atom
DFT formation energy	157	meV/atom

a = 8.4746 Å, b = 8.4746 Å, c = 8.4746 Å
α = 90.00°, β = 90.00°, γ = 90.00°
Last column: nearest neighbours and their distance in Å.
Space group Fm-3m (No. 225)
One atom of each set of equivalent atoms:
Ac (0.0000, 0.0000, 0.0000) x4  8 La 3.67
La (0.2500, 0.2500, 0.2500) x8  4 Ac 3.67, 4 Er 3.67
Er (0.0000, 0.0000, 0.5000) x4  8 La 3.67

=====

First-principles (PBE-GGA) data for crystalline Ac12La3Er at its relaxed geometry, as listed in Alexandria.

Values from the calculation:
crystal system	tetragonal
DFT formation energy	24	meV/atom

a = 5.5428 Å, b = 5.5428 Å, c = 22.1459 Å
α = 90.00°, β = 90.00°, γ = 90.00°
Last column: nearest neighbours and their distance in Å.
Space group P4/mmm (No. 123)
One atom of each set of equivalent atoms:
Ac (0.0000, 0.0000, 0.0000) x1  8 Ac 3.88, 4 Er 3.92
Ac (0.0000, 0.0000, 0.2479) x2  4 La 3.92, 8 Ac 3.93
Ac (0.0000, 0.0000, 0.5000) x1  4 La 3.92, 8 Ac 3.93
Ac (0.0000, 0.5000, 0.1224) x4  8 Ac 3.88-3.93, 2 Er 3.88, 2 La 3.93
Ac (0.0000, 0.5000, 0.3740) x4  8 Ac 3.92-3.93, 4 La 3.93
La (0.5000, 0.5000, 0.2481) x2  12 Ac 3.92-3.93
La (0.5000, 0.5000, 0.5000) x1  12 Ac 3.92-3.93
Er (0.5000, 0.5000, 0.0000) x1  12 Ac 3.88-3.92

=====

First-principles (PBE-GGA) data for crystalline Ac2La9Er at its relaxed geometry, as listed in Alexandria.

Values from the calculation:
crystal system	tetragonal
DFT formation energy	15	meV/atom

a = 5.3107 Å, b = 5.3107 Å, c = 15.8914 Å
α = 90.00°, β = 90.00°, γ = 90.00°
Last column: nearest neighbours and their distance in Å.
Space group P4/mmm (No. 123)
One atom of each set of equivalent atoms:
Ac (0.0000, 0.0000, 0.1693) x2  12 La 3.76-3.79
La (0.0000, 0.5000, 0.0000) x2  8 La 3.76-3.79, 4 Ac 3.78
La (0.0000, 0.5000, 0.3392) x4  8 La 3.69-3.77, 2 Er 3.69, 2 Ac 3.79
La (0.5000, 0.5000, 0.1704) x2  4 Ac 3.76, 8 La 3.77-3.79
La (0.5000, 0.5000, 0.5000) x1  8 La 3.69, 4 Er 3.76
Er (0.0000, 0.0000, 0.5000) x1  12 La 3.69-3.76

=====

What is the formula in the third record? Ac4La3Er